Entry 1:
The following is a DFT calculation (PBE-GGA) of an optimized crystal structure of Li7In3Rh.

Uncorrected energy   -2.76 eV per atom

Cell lengths 9.799, 9.799, 14.723 Å; angles 90.00, 90.00, 163.04 degrees
Fractional coordinates of all 22 atoms:
Li (0.007, 0.993, 0.600)
Li (0.007, 0.993, 0.900)
Li (0.103, 0.897, 0.750)
Li (0.115, 0.885, 0.164)
Li (0.115, 0.885, 0.336)
Li (0.241, 0.759, 0.081)
Li (0.241, 0.759, 0.419)
Li (0.759, 0.241, 0.581)
Li (0.759, 0.241, 0.919)
Li (0.885, 0.115, 0.664)
Li (0.885, 0.115, 0.836)
Li (0.897, 0.103, 0.250)
Li (0.993, 0.007, 0.100)
Li (0.993, 0.007, 0.400)
In (0.263, 0.737, 0.750)
In (0.379, 0.621, 0.015)
In (0.379, 0.621, 0.485)
In (0.621, 0.379, 0.515)
In (0.621, 0.379, 0.985)
In (0.737, 0.263, 0.250)
Rh (0.482, 0.518, 0.750)
Rh (0.518, 0.482, 0.250)

=====

Entry 2:
The following is a DFT calculation (PBE-GGA) of an optimized crystal structure of Li2In3Rh2.

Uncorrected energy   -4.09 eV per atom

Cell lengths 4.507, 4.508, 8.204 Å; angles 74.11, 89.88, 60.01 degrees
Fractional coordinates of all 7 atoms:
Li (0.126, 0.247, 0.382)
Li (0.874, 0.753, 0.618)
In (0.000, 0.500, 0.000)
In (0.255, 0.992, 0.761)
In (0.745, 0.008, 0.239)
Rh (0.374, 0.752, 0.122)
Rh (0.626, 0.248, 0.878)

=====

Entry 3:
The following is a DFT calculation (PBE-GGA) of an optimized crystal structure of Li3In2Rh.

Uncorrected energy   -3.38 eV per atom

Cell lengths 8.885, 8.196, 5.311 Å; angles 79.11, 64.94, 35.94 degrees
Fractional coordinates of all 12 atoms:
Li (0.166, 0.166, 0.834)
Li (0.169, 0.664, 0.336)
Li (0.336, 0.831, 0.169)
Li (0.664, 0.169, 0.831)
Li (0.831, 0.336, 0.664)
Li (0.834, 0.834, 0.166)
In (0.250, 0.250, 0.250)
In (0.251, 0.749, 0.749)
In (0.749, 0.251, 0.251)
In (0.750, 0.750, 0.750)
Rh (0.333, 0.333, 0.667)
Rh (0.667, 0.667, 0.333)

=====

Entry 4:
The following is a DFT calculation (PBE-GGA) of an optimized crystal structure of Li3In2Rh2.

Uncorrected energy   -4.00 eV per atom

Cell lengths 4.103, 4.856, 6.475 Å; angles 79.80, 89.92, 65.02 degrees
Fractional coordinates of all 7 atoms:
Li (0.000, 0.000, 0.000)
Li (0.298, 0.404, 0.817)
Li (0.702, 0.596, 0.183)
In (0.408, 0.184, 0.287)
In (0.592, 0.816, 0.713)
Rh (0.129, 0.742, 0.414)
Rh (0.871, 0.258, 0.586)

=====

Entry 5:
The following is a DFT calculation (PBE-GGA) of an optimized crystal structure of Li3In3Rh2.

Uncorrected energy   -3.99 eV per atom

Cell lengths 7.880, 7.880, 7.880 Å; angles 33.57, 33.57, 33.57 degrees
Fractional coordinates of all 8 atoms:
Li (0.000, 0.000, 0.000)
Li (0.125, 0.125, 0.125)
Li (0.498, 0.498, 0.498)
In (0.378, 0.378, 0.378)
In (0.622, 0.622, 0.622)
In (0.868, 0.868, 0.868)
Rh (0.251, 0.251, 0.251)
Rh (0.745, 0.745, 0.745)

=====

Entry 6:
The following is a DFT calculation (PBE-GGA) of an optimized crystal structure of LiIn5Rh6.

Uncorrected energy   -5.41 eV per atom

Cell lengths 7.160, 7.160, 6.396 Å; angles 90.00, 90.00, 143.14 degrees
Fractional coordinates of all 12 atoms:
Li (0.000, 0.000, 0.000)
In (0.000, 0.000, 0.500)
In (0.333, 0.667, 0.500)
In (0.340, 0.660, 0.000)
In (0.660, 0.340, 0.000)
In (0.667, 0.333, 0.500)
Rh (0.168, 0.832, 0.247)
Rh (0.168, 0.832, 0.753)
Rh (0.500, 0.500, 0.253)
Rh (0.500, 0.500, 0.747)
Rh (0.832, 0.168, 0.247)
Rh (0.832, 0.168, 0.753)

=====

Entry 7:
The following is a DFT calculation (PBE-GGA) of an optimized crystal structure of Li2InRh2.

Energy above the most stable polymorph in this dataset   44 meV/atom

Cell lengths 6.646, 6.646, 3.131 Å; angles 90.00, 90.00, 90.00 degrees
Fractional coordinates of all 10 atoms:
Li (0.115, 0.385, 0.000)
Li (0.385, 0.885, 0.000)
Li (0.615, 0.115, 0.000)
Li (0.885, 0.615, 0.000)
In (0.000, 0.000, 0.000)
In (0.500, 0.500, 0.000)
Rh (0.185, 0.685, 0.500)
Rh (0.315, 0.185, 0.500)
Rh (0.685, 0.815, 0.500)
Rh (0.815, 0.315, 0.500)

=====

Entry 8:
The following is a DFT calculation (PBE-GGA) of an optimized crystal structure of LiInRh2.

Uncorrected energy   -5.07 eV per atom

Cell lengths 2.861, 4.048, 5.371 Å; angles 90.00, 104.68, 90.00 degrees
Fractional coordinates of all 4 atoms:
Li (0.000, 0.000, 0.000)
In (0.000, 0.000, 0.500)
Rh (0.383, 0.500, 0.228)
Rh (0.617, 0.500, 0.772)

=====

We obtain spin magnetization values of 0.6 0.0 0.0 0.0 0.0 0.0 0.0 0.0 μB per cell for the records listed above, in that order.